DFT (PBE-GGA) results for an optimized crystal structure of Li2TlIrO4.

It has space group I-42m (No. 121), with a = 5.3637 Å, b = 5.3637 Å, c = 7.7359 Å, α = 90.00°, β = 90.00° and γ = 90.00°. The asymmetric unit holds Li at (0.0000, 0.5000, 0.2500), Tl at (0.0000, 0.0000, 0.0000), Ir at (0.0000, 0.0000, 0.5000) and O at (0.1782, 0.1782, 0.6711).

The electronic total energy comes out at -42.82 eV/f.u.